Entry 1:
## Pm4Sc4Pb7 (PBE)

Data for crystalline Pm4Sc4Pb7 at its relaxed geometry.

The total energy comes out at -5.1794 eV/atom. The formation energy comes out at -0.4936 eV/atom.

Geometry as CIF:
```
data_Pm4Sc4Pb7
_cell_length_a 16.0693
_cell_length_b 16.0693
_cell_length_c 6.5478
_cell_angle_alpha 90.00
_cell_angle_beta 90.00
_cell_angle_gamma 90.00
_symmetry_space_group_name_H-M 'I 4/m m m'
_symmetry_Int_Tables_number 139
_symmetry_space_group_name_Hall '-I 4 2'
loop_
_atom_site_label
_atom_site_type_symbol
_atom_site_fract_x
_atom_site_fract_y
_atom_site_fract_z
_atom_site_occupancy
Pm1 Pm 0.0000 0.1893 0.0000 1
Pm2 Pm 0.1340 0.1340 0.5000 1
Sc1 Sc 0.1504 0.3496 0.2500 1
Pb1 Pb 0.0000 0.0000 0.2492 1
Pb2 Pb 0.0000 0.2783 0.5000 1
Pb3 Pb 0.0000 0.4019 0.0000 1
Pb4 Pb 0.1995 0.1995 0.0000 1
```


Entry 2:
## PmSc2Pb (PBE)

Data for crystalline PmSc2Pb at its relaxed geometry.

The total energy comes out at -5.5419 eV/atom. The formation energy comes out at -0.2614 eV/atom.

Geometry as CIF:
```
data_PmSc2Pb
_cell_length_a 4.7370
_cell_length_b 4.7370
_cell_length_c 4.6336
_cell_angle_alpha 90.00
_cell_angle_beta 90.00
_cell_angle_gamma 90.00
_symmetry_space_group_name_H-M 'P 4/m m m'
_symmetry_Int_Tables_number 123
_symmetry_space_group_name_Hall '-P 4 2'
loop_
_atom_site_label
_atom_site_type_symbol
_atom_site_fract_x
_atom_site_fract_y
_atom_site_fract_z
_atom_site_occupancy
Pm1 Pm 0.0000 0.0000 0.0000 1
Sc1 Sc 0.0000 0.5000 0.5000 1
Pb1 Pb 0.5000 0.5000 0.0000 1
```